The following is a PBE calculation of a relaxed As2WCl crystal, from Alexandria.

```
data_As2WCl
_chemical_formula_sum 'As2 W1 Cl1'
_symmetry_space_group_name_H-M 'P 1'
_symmetry_Int_Tables_number 1
_cell_length_a 3.018
_cell_length_b 3.018
_cell_length_c 9.651
_cell_angle_alpha 90.00
_cell_angle_beta 90.00
_cell_angle_gamma 117.88
loop_
_symmetry_equiv_pos_as_xyz
'x,y,z'
loop_
_atom_site_label
_atom_site_fract_x
_atom_site_fract_y
_atom_site_fract_z
_atom_site_occupancy
As1 0.000 0.000 0.000 1
As2 0.500 0.500 0.252 1
W1 0.500 0.500 0.787 1
Cl1 0.000 0.000 0.584 1
```

## Properties
N(E_F): 1.22 states/eV per atom
total moment: 0.022 μB/atom
formation energy (no corrections): 10.63 kcal/mol of atoms
crystal system: orthorhombic